Record 1
Pr2Nd4Er | PBE | optimized geometry

CIF file:
```
data_Pr2Nd4Er
_symmetry_space_group_name_H-M 'P 1'
_symmetry_Int_Tables_number 1
_cell_length_a 6.353
_cell_length_b 8.192
_cell_length_c 9.698
_cell_angle_alpha 89.92
_cell_angle_beta 89.99
_cell_angle_gamma 75.10
loop_
_symmetry_equiv_pos_as_xyz
'x,y,z'
loop_
_atom_site_label
_atom_site_type_symbol
_atom_site_fract_x
_atom_site_fract_y
_atom_site_fract_z
Pr1 Pr 0.000 0.000 0.000
Pr2 Pr 0.000 0.499 0.500
Pr3 Pr 0.567 0.786 0.929
Pr4 Pr 0.713 0.856 0.286
Nd1 Nd 0.141 0.070 0.358
Nd2 Nd 0.141 0.569 0.858
Nd3 Nd 0.426 0.217 0.071
Nd4 Nd 0.426 0.716 0.572
Nd5 Nd 0.567 0.287 0.429
Nd6 Nd 0.712 0.356 0.785
Nd7 Nd 0.854 0.430 0.144
Nd8 Nd 0.854 0.930 0.644
Er1 Er 0.283 0.643 0.215
Er2 Er 0.284 0.143 0.714
```

**Theoretical density**: 7.0 Mg/m³
**Size of the total moment**: 0.00 μB/f.u.
**Calculated volume**: 34.84 A^3/atom
**Energy relative to the elements**: 0.0139 eV per atom

=====

Record 2
ScPaTlAg | PBE | optimized geometry

CIF file:
```
data_ScPaTlAg
_symmetry_space_group_name_H-M 'F -4 3 m'
_symmetry_Int_Tables_number 216
_symmetry_space_group_name_Hall 'F -4 2 3'
_cell_length_a 7.294
_cell_length_b 7.294
_cell_length_c 7.294
_cell_angle_alpha 90.00
_cell_angle_beta 90.00
_cell_angle_gamma 90.00
loop_
_atom_site_label
_atom_site_type_symbol
_atom_site_fract_x
_atom_site_fract_y
_atom_site_fract_z
Sc1 Sc 0.000 0.000 0.000
Pa1 Pa 0.000 0.000 0.500
Tl1 Tl 0.250 0.250 0.750
Ag1 Ag 0.250 0.250 0.250
```

**Theoretical density**: 10.1 Mg/m³
**Size of the total moment**: 2.07 μB/f.u.
**Calculated volume**: 24.25 A^3/atom
**Energy relative to the elements**: 0.1199 eV per atom

=====

Record 3
Tb2Er3Th | PBE | optimized geometry

CIF file:
```
data_Tb2Er3Th
_symmetry_space_group_name_H-M 'C m c 21'
_symmetry_Int_Tables_number 36
_cell_length_a 9.371
_cell_length_b 12.279
_cell_length_c 6.775
_cell_angle_alpha 90.00
_cell_angle_beta 90.00
_cell_angle_gamma 90.00
loop_
_symmetry_equiv_pos_as_xyz
'x,y,z'
'-x,-y,z+1/2'
'-x,y,z'
'x,-y,z+1/2'
'x+1/2,y+1/2,z'
'-x+1/2,-y+1/2,z+1/2'
'-x+1/2,y+1/2,z'
'x+1/2,-y+1/2,z+1/2'
loop_
_atom_site_label
_atom_site_type_symbol
_atom_site_fract_x
_atom_site_fract_y
_atom_site_fract_z
Tb1 Tb 0.173 0.151 0.000
Er1 Er 0.000 0.353 0.251
Er2 Er 0.172 0.115 0.499
Th1 Th 0.000 0.354 0.748
```

**Theoretical density**: 9.0 Mg/m³
**Size of the total moment**: 0.00 μB/f.u.
**Calculated volume**: 32.48 A^3/atom
**Energy relative to the elements**: 0.2375 eV per atom
**Excess energy over the best structure of this formula in the dataset**: 0.2029 eV/atom

=====

Record 4
La4Sc5 | PBE | optimized geometry

CIF file:
```
data_La4Sc5
_symmetry_space_group_name_H-M 'P 63/m c m'
_symmetry_Int_Tables_number 193
_symmetry_space_group_name_Hall '-P 6c 2'
_cell_length_a 9.5280
_cell_length_b 9.5280
_cell_length_c 6.8301
_cell_angle_alpha 90.00
_cell_angle_beta 90.00
_cell_angle_gamma 120.00
loop_
_atom_site_label
_atom_site_type_symbol
_atom_site_fract_x
_atom_site_fract_y
_atom_site_fract_z
La1 La 0.0000 0.0000 0.0000
La2 La 0.0000 0.3539 0.2500
Sc1 Sc 0.0000 0.3269 0.7500
Sc2 Sc 0.3333 0.6667 0.0000
```

**Theoretical density**: 4.8 Mg/m³
**Size of the total moment**: 0.00 μB/f.u.
**Calculated volume**: 29.83 A^3/atom
**Energy relative to the elements**: 0.1203 eV per atom

=====

| no. | final energy (eV per atom) |
| --- | --- |
| 1 | -4.728 |
| 2 | -5.141 |
| 3 | -4.824 |
| 4 | -5.587 |